Compound: AlSb2RuF
Source: Alexandria via LeMat-Bulk
Functional: PBE
Structure: relaxed

Unit cell a=4.899 b=4.153 c=4.899 alpha=90.00 beta=90.00 gamma=90.00
Fractional coordinates of all 5 atoms:
Sb 0.000 0.000 0.500
Sb 0.500 0.000 0.000
F 0.000 0.000 0.000
Ru 0.000 0.500 0.000
Al 0.500 0.500 0.500

E: -4.276 eV per atom
uncorrected formation energy: 351 meV per atom
spin magnetization: 0.0 Bohr magnetons per cell
space-group type: P4/mmm, No. 123